Compound: BeNiO
Source: Alexandria via LeMat-Bulk
Functional: PBE+U
Structure: relaxed

a b c (Å): 2.653 2.653 11.033
angles (deg): 90.00 90.00 120.00
Fractional positions:
Ni  0.000  0.000  0.000
Ni  0.000  0.000  0.500
Be  0.667  0.333  0.750
Be  0.333  0.667  0.250
O  0.000  0.000  0.250
O  0.000  0.000  0.750

Its calculated volume is 67.23 Å³/cell. The theoretical density is 4.14 g/cm3. The total magnetization is 0.348 μB/atom. Its uncorrected energy is -5.018 eV/atom.